No. 1
Dy4CuAg: optimized geometry, PBE. Values from VASP.

```
&SYSTEM
  ibrav = 0, nat = 12, ntyp = 3
/
ATOMIC_SPECIES
Dy 162.50 Dy.upf
Cu 63.55 Cu.upf
Ag 107.87 Ag.upf
ATOMIC_POSITIONS crystal
Dy 0.1161 0.3449 0.8387
Dy 0.8839 0.6551 0.1613
Dy 0.3839 0.8449 0.1613
Dy 0.6775 0.6657 0.6532
Dy 0.6161 0.1551 0.8387
Dy 0.3225 0.3343 0.3468
Dy 0.1775 0.8343 0.6532
Dy 0.8225 0.1657 0.3468
Cu 0.0000 0.5000 0.5000
Cu 0.5000 0.0000 0.5000
Ag 0.5000 0.5000 0.0000
Ag 0.0000 0.0000 0.0000
CELL_PARAMETERS angstrom
-5.4235 2.9617 -2.9566
-4.4365 -4.2716 3.8593
0.3732 4.3968 5.2956
```

- calculated total energy (eV/f.u.) = -25.17
- space group = P2_1/c (14)
- DOS at the Fermi energy (states/eV per cell) = 16.50
- energy above the most stable polymorph in this dataset (kJ/mol of formula units) = 103
- energy relative to the elements (eV/atom) = 0.03
- total moment (Bohr magnetons per cell) = 0.00


No. 2
InReAg2: optimized geometry, PBE. Values from VASP.

```
&SYSTEM
  ibrav = 0, nat = 4, ntyp = 3
/
ATOMIC_SPECIES
In 114.82 In.upf
Ag 107.87 Ag.upf
Re 186.21 Re.upf
ATOMIC_POSITIONS crystal
In 0.5000 0.0000 0.5000
Ag 0.0000 0.0000 0.0000
Ag 0.5000 0.5000 0.0000
Re 0.0000 0.5000 0.5000
CELL_PARAMETERS angstrom
4.0299 0.0000 0.0000
0.0000 4.0299 0.0000
0.0000 0.0000 4.3484
```

- calculated total energy (eV/f.u.) = -18.56
- space group = P4/mmm (123)
- DOS at the Fermi energy (states/eV per cell) = 2.57
- energy relative to the elements (eV/atom) = 0.58
- total moment (Bohr magnetons per cell) = 0.49


No. 3
NdHoZnPt: optimized geometry, PBE. Values from VASP.

```
&SYSTEM
  ibrav = 0, nat = 4, ntyp = 4
/
ATOMIC_SPECIES
Nd 144.24 Nd.upf
Pt 195.08 Pt.upf
Zn 65.41 Zn.upf
Ho 164.93 Ho.upf
ATOMIC_POSITIONS crystal
Nd 0.5000 0.5000 0.5000
Pt 0.7500 0.7500 0.7500
Zn 0.2500 0.2500 0.2500
Ho 0.0000 0.0000 0.0000
CELL_PARAMETERS angstrom
5.0607 0.0000 0.0000
2.5304 4.3827 0.0000
2.5304 1.4609 4.1321
```

- calculated total energy (eV/f.u.) = -19.55
- space group = F-43m (216)
- DOS at the Fermi energy (states/eV per cell) = 2.99
- energy above the most stable polymorph in this dataset (kJ/mol of formula units) = 17
- energy relative to the elements (eV/atom) = -0.72
- total moment (Bohr magnetons per cell) = 0.00